## Cs2TlCoSn (GGA-PBEsol)

Data for an optimized crystal structure of Cs2TlCoSn.

Lattice parameters (Å, degrees): 7.3804 7.3804 5.4702 90.00 90.00 90.00
Last column: nearest neighbours and their distance in Å.
Fractional coordinates of all 5 atoms:
Cs (0.0000, 0.5000, 0.0000)  2 Sn 3.69
Cs (0.5000, 0.0000, 0.0000)  2 Sn 3.69
Tl (0.0000, 0.0000, 0.5000)  2 Sn 2.74
Co (0.5000, 0.5000, 0.5000)  8 Cs 4.59
Sn (0.0000, 0.0000, 0.0000)  2 Tl 2.74

Summary:
Crystal system = tetragonal
N(E_F) = 10.91 states/eV/f.u.
Theoretical density = 3.61 g/cm3
Space group = P4/mmm (123)



## LiMg (GGA-PBEsol)

Data for an optimized crystal structure of LiMg.

Lattice parameters (Å, degrees): 3.0887 3.0887 9.9679 90.00 90.00 120.00
Last column: nearest neighbours and their distance in Å.
Fractional coordinates of all 4 atoms:
Li (0.3333, 0.6667, 0.2500)  6 Mg 3.06, 6 Li 3.09
Li (0.6667, 0.3333, 0.7500)  6 Mg 3.06, 6 Li 3.09
Mg (0.0000, 0.0000, 0.0000)  6 Li 3.06, 6 Mg 3.09
Mg (0.0000, 0.0000, 0.5000)  6 Li 3.06, 6 Mg 3.09

Summary:
Crystal system = hexagonal
N(E_F) = 0.74 states/eV/f.u.
Theoretical density = 1.26 g/cm3
Space group = P6_3/mmc (194)



## BaSiNi2 (GGA-PBEsol)

Data for an optimized crystal structure of BaSiNi2.

Lattice parameters (Å, degrees): 4.7017 4.7017 4.7017 60.00 60.00 60.00
Last column: nearest neighbours and their distance in Å.
Fractional coordinates of all 4 atoms:
Ba (0.0000, 0.0000, 0.0000)  4 Si 2.88, 4 Ni 2.88
Si (0.7500, 0.7500, 0.7500)  4 Ba 2.88, 4 Ni 2.88
Ni (0.2500, 0.2500, 0.2500)  4 Ba 2.88, 4 Ni 2.88
Ni (0.5000, 0.5000, 0.5000)  4 Si 2.88, 4 Ni 2.88

Summary:
Crystal system = cubic
Energy relative to the elements, uncorrected = 654 meV/atom
N(E_F) = 3.46 states/eV/f.u.
Theoretical density = 6.39 g/cm3
Space group = F-43m (216)



| no. | E_tot (eV per atom) |
| --- | --- |
| 1 | -2.3810 |
| 2 | -1.8764 |
| 3 | -4.3988 |